No. 1
VASP calculation (PBE-GGA) on MgTl after structural relaxation.

Values from the calculation:
Space-group type   R-3m
E_form   -0.422 kcal/mol of atoms

Lattice parameters (Å, degrees): 3.4176 3.4176 15.0395 90.00 90.00 120.00
Fractional coordinates of all 6 atoms:
Mg 0.0000 0.0000 0.0000
Mg 0.3333 0.6667 0.6667
Mg 0.6667 0.3333 0.3333
Tl 0.0000 0.0000 0.5000
Tl 0.3333 0.6667 0.1667
Tl 0.6667 0.3333 0.8333



No. 2
VASP calculation (PBE-GGA) on Zr2Tc after structural relaxation.

Values from the calculation:
Space-group type   P6_3/mmc
E_form   -0.076 kcal/mol of atoms

Lattice parameters (Å, degrees): 5.0009 5.0009 5.4517 90.00 90.00 120.00
Fractional coordinates of all 6 atoms:
Zr 0.0000 0.0000 0.0000
Zr 0.0000 0.0000 0.5000
Zr 0.3333 0.6667 0.2500
Zr 0.6667 0.3333 0.7500
Tc 0.3333 0.6667 0.7500
Tc 0.6667 0.3333 0.2500



No. 3
VASP calculation (PBE-GGA) on BaSrHg2Cl8 after structural relaxation.

Values from the calculation:
Space-group type   P-3
Formation energy from raw total energies   -1433 meV per atom

Lattice parameters (Å, degrees): 6.7944 6.7944 9.8162 90.00 90.00 120.00
Fractional coordinates of all 12 atoms:
Ba 0.0000 0.0000 0.0000
Sr 0.0000 0.0000 0.5000
Hg 0.3333 0.6667 0.7606
Hg 0.6667 0.3333 0.2394
Cl 0.0206 0.7084 0.2929
Cl 0.2916 0.3122 0.2929
Cl 0.3122 0.0206 0.7071
Cl 0.3333 0.6667 0.0159
Cl 0.6667 0.3333 0.9841
Cl 0.6878 0.9794 0.2929
Cl 0.7084 0.6878 0.7071
Cl 0.9794 0.2916 0.7071



What did the second record say?
VASP calculation (PBE-GGA) on Zr2Tc after structural relaxation.

Values from the calculation:
Space-group type   P6_3/mmc
E_form   -0.076 kcal/mol of atoms

Lattice parameters (Å, degrees): 5.0009 5.0009 5.4517 90.00 90.00 120.00
Fractional coordinates of all 6 atoms:
Zr 0.0000 0.0000 0.0000
Zr 0.0000 0.0000 0.5000
Zr 0.3333 0.6667 0.2500
Zr 0.6667 0.3333 0.7500
Tc 0.3333 0.6667 0.7500
Tc 0.6667 0.3333 0.2500